No. 1
HfO2F2: optimized geometry, PBE.

Properties
* space-group type: P4/mmm, No. 123
* energy relative to the elements, uncorrected: -0.58 eV/atom

Cell: 3.6243 3.6243 3.8966 Å, 90.00 90.00 90.00°
Last column: nearest neighbours and their distance in Å.
Fractional coordinates of all 5 atoms:
O  0.0000  0.5000  0.0000  2 F 1.81
F  0.0000  0.0000  0.5000  2 F 1.95
F  0.0000  0.0000  0.0000  4 O 1.81, 2 F 1.95
Hf  0.5000  0.5000  0.5000  4 F 2.56, 8 O 2.66
O  0.5000  0.0000  0.0000  2 F 1.81


No. 2
LiTb4Ir3: optimized geometry, PBE.

Properties
* space-group type: I4/mmm, No. 139
* E_form: -0.667 eV per atom

Cell: 4.9151 4.9151 7.7924 Å, 108.40 108.38 90.00°
Last column: nearest neighbours and their distance in Å.
Fractional coordinates of all 8 atoms:
Li  0.5000  0.0000  0.0000  8 Tb 3.05, 2 Ir 3.34
Tb  0.3706  0.3706  0.7412  6 Ir 2.90-3.06, 2 Li 3.05
Ir  0.0000  0.5000  0.0000  8 Tb 3.05
Tb  0.6294  0.6294  0.2588  6 Ir 2.90-3.06, 2 Li 3.05
Ir  0.7396  0.2396  0.4792  8 Tb 2.90-3.06
Tb  0.1294  0.1294  0.2588  6 Ir 2.90-3.06, 2 Li 3.05
Tb  0.8706  0.8706  0.7412  6 Ir 2.90-3.06, 2 Li 3.05
Ir  0.2604  0.7604  0.5208  8 Tb 2.90-3.06


No. 3
Mg2Cd3: optimized geometry, PBE.

Properties
* excess energy over the best structure of this formula in the dataset: 0.042 eV/atom
* space-group type: R-3m, No. 166
* E_form: -0.005 eV per atom

Cell: 13.9625 13.9625 13.9625 Å, 12.66 12.66 12.66°
Last column: nearest neighbours and their distance in Å.
Fractional coordinates of all 5 atoms:
Cd  0.0000  0.0000  0.0000  6 Cd 3.08, 6 Mg 3.25
Cd  0.7979  0.7979  0.7979  9 Cd 3.08-3.44, 3 Mg 3.26
Mg  0.3988  0.3988  0.3988  6 Mg 3.08, 6 Cd 3.25-3.26
Mg  0.6012  0.6012  0.6012  6 Mg 3.08, 6 Cd 3.25-3.26
Cd  0.2021  0.2021  0.2021  9 Cd 3.08-3.44, 3 Mg 3.26


No. 4
Be2SiPOs: optimized geometry, PBE.

Properties
* space-group type: P4/mmm, No. 123
* energy relative to the elements, uncorrected: 0.98 eV/atom

Cell: 3.8307 4.8191 3.8307 Å, 90.00 90.00 90.00°
Last column: nearest neighbours and their distance in Å.
Fractional coordinates of all 5 atoms:
P  0.0000  0.0000  0.0000  4 Be 1.92
Si  0.0000  0.5000  0.0000  2 P 2.41
Be  0.5000  0.0000  0.0000  2 P 1.92
Os  0.5000  0.5000  0.5000  4 Si 2.71
Be  0.0000  0.0000  0.5000  2 P 1.92


| no. | D(E_F) (states/eV per atom) |
| --- | --- |
| 1 | 0.532 |
| 2 | 0.724 |
| 3 | 0.293 |
| 4 | 0.532 |